No. 1
La3Tc2: relaxed, PBE-GGA.

excess energy over the best structure of this formula in the dataset = 71.6 kJ/mol of formula units
crystal system = trigonal
symmetry = R-3m (166)
ρ = 7.72 Mg/m³

abc: 11.725 11.725 11.725
angles: 17.82 17.82 17.82
Positions (direct):
1 La 0.000 0.000 0.000
2 La 0.785 0.785 0.785
3 La 0.215 0.215 0.215
4 Tc 0.603 0.603 0.603
5 Tc 0.397 0.397 0.397



No. 2
DyY3Er3S8: relaxed, PBE-GGA.

formation energy without anion corrections = -2.042 eV/atom
crystal system = trigonal
symmetry = R-3m (166)
ρ = 5.95 Mg/m³

abc: 7.762 7.762 7.775
angles: 119.94 90.00 120.00
Positions (direct):
1 Dy 0.000 0.000 0.500
2 Y 0.000 0.000 0.000
3 Y 0.000 0.500 0.000
4 Y 0.500 0.500 0.000
5 Er 0.500 0.000 0.500
6 Er 0.500 0.500 0.500
7 Er 0.000 0.500 0.500
8 S 0.252 0.503 0.255
9 S 0.748 0.497 0.745
10 S 0.749 0.497 0.252
11 S 0.251 0.503 0.748
12 S 0.749 0.003 0.252
13 S 0.251 0.997 0.748
14 S 0.255 0.003 0.252
15 S 0.745 0.997 0.748



No. 3
Lu2CoSe: relaxed, PBE-GGA.

excess energy over the best structure of this formula in the dataset = 0.0 kJ/mol of formula units
formation energy without anion corrections = -0.823 eV/atom
crystal system = trigonal
symmetry = R-3m (166)
ρ = 9.50 Mg/m³

abc: 3.773 3.773 7.254
angles: 74.93 74.93 60.00
Positions (direct):
1 Lu 0.259 0.259 0.224
2 Lu 0.741 0.741 0.776
3 Co 0.000 0.000 0.000
4 Se 0.500 0.500 0.500